[1]
# TlAs3 (PBE-GGA, optimized geometry)
data_TlAs3
_chemical_formula_sum 'Tl2 As6'
_cell_length_a 5.8873
_cell_length_b 10.4857
_cell_length_c 2.8963
_cell_angle_alpha 90.00
_cell_angle_beta 90.00
_cell_angle_gamma 90.00
_symmetry_space_group_name_H-M 'C m m m'
_symmetry_Int_Tables_number 65
_symmetry_space_group_name_Hall '-C 2 2'
loop_
_atom_site_label
_atom_site_fract_x
_atom_site_fract_y
_atom_site_fract_z
Tl1 0.0000 0.0000 0.0000
As1 0.0000 0.5000 0.0000
As2 0.2500 0.2500 0.5000
# **Energy of formation**: 0.4572 eV/atom
# **Excess energy over the best structure of this formula in the dataset**: 299 meV per atom

[2]
# TlAs (PBE-GGA, optimized geometry)
data_TlAs
_chemical_formula_sum 'Tl1 As1'
_cell_length_a 3.1484
_cell_length_b 3.1484
_cell_length_c 5.1277
_cell_angle_alpha 90.00
_cell_angle_beta 90.00
_cell_angle_gamma 90.00
_symmetry_space_group_name_H-M 'P 4/m m m'
_symmetry_Int_Tables_number 123
_symmetry_space_group_name_Hall '-P 4 2'
loop_
_atom_site_label
_atom_site_fract_x
_atom_site_fract_y
_atom_site_fract_z
Tl1 0.0000 0.0000 0.0000
As1 0.5000 0.5000 0.5000
# **Energy of formation**: 0.2786 eV/atom

[3]
# TlAs (PBE-GGA, optimized geometry)
data_TlAs
_chemical_formula_sum 'Tl6 As6'
_cell_length_a 7.8296
_cell_length_b 7.8296
_cell_length_c 7.8296
_cell_angle_alpha 90.00
_cell_angle_beta 90.00
_cell_angle_gamma 90.00
_symmetry_space_group_name_H-M 'P m -3 n'
_symmetry_Int_Tables_number 223
_symmetry_space_group_name_Hall '-P 4n 2 3'
loop_
_atom_site_label
_atom_site_fract_x
_atom_site_fract_y
_atom_site_fract_z
Tl1 0.0000 0.2500 0.5000
As1 0.0000 0.5000 0.2500
# **Energy of formation**: 0.2074 eV/atom

[4]
# TlAs3 (PBE-GGA, optimized geometry)
data_TlAs3
_chemical_formula_sum 'Tl1 As3'
_cell_length_a 2.9615
_cell_length_b 5.0883
_cell_length_c 6.3728
_cell_angle_alpha 90.00
_cell_angle_beta 90.07
_cell_angle_gamma 90.00
_symmetry_space_group_name_H-M 'P 1 2/m 1'
_symmetry_Int_Tables_number 10
_symmetry_space_group_name_Hall '-P 2y'
loop_
_atom_site_label
_atom_site_fract_x
_atom_site_fract_y
_atom_site_fract_z
Tl1 0.0000 0.0000 0.0000
As1 0.4987 0.5000 0.3044
As2 0.5000 0.0000 0.5000
# **Energy of formation**: 0.1787 eV/atom
# **Excess energy over the best structure of this formula in the dataset**: 20 meV per atom

[5]
# TlAs (PBE-GGA, optimized geometry)
data_TlAs
_chemical_formula_sum 'Tl6 As6'
_cell_length_a 11.1244
_cell_length_b 11.1244
_cell_length_c 3.5845
_cell_angle_alpha 90.00
_cell_angle_beta 90.00
_cell_angle_gamma 120.00
_symmetry_space_group_name_H-M 'P 63/m m c'
_symmetry_Int_Tables_number 194
_symmetry_space_group_name_Hall '-P 6c 2c'
loop_
_atom_site_label
_atom_site_fract_x
_atom_site_fract_y
_atom_site_fract_z
Tl1 0.1580 0.3160 0.2500
As1 0.0869 0.5434 0.2500
# **Energy of formation**: 0.0644 eV/atom

[6]
# Tl8As3 (PBE-GGA, optimized geometry)
data_Tl8As3
_chemical_formula_sum 'Tl24 As9'
_cell_length_a 10.3277
_cell_length_b 10.3277
_cell_length_c 11.1726
_cell_angle_alpha 90.00
_cell_angle_beta 90.00
_cell_angle_gamma 120.00
_symmetry_space_group_name_H-M 'R -3'
_symmetry_Int_Tables_number 148
_symmetry_space_group_name_Hall '-R 3'
loop_
_atom_site_label
_atom_site_fract_x
_atom_site_fract_y
_atom_site_fract_z
Tl1 0.0000 0.0000 0.1402
Tl2 0.0007 0.7653 0.3951
As1 0.0000 0.5000 0.5000
# **Energy of formation**: 0.0617 eV/atom

[7]
# Tl3As (PBE-GGA, optimized geometry)
data_Tl3As
_chemical_formula_sum 'Tl6 As2'
_cell_length_a 6.1548
_cell_length_b 6.1548
_cell_length_c 6.1548
_cell_angle_alpha 90.00
_cell_angle_beta 90.00
_cell_angle_gamma 90.00
_symmetry_space_group_name_H-M 'P m -3 n'
_symmetry_Int_Tables_number 223
_symmetry_space_group_name_Hall '-P 4n 2 3'
loop_
_atom_site_label
_atom_site_fract_x
_atom_site_fract_y
_atom_site_fract_z
Tl1 0.0000 0.2500 0.5000
As1 0.0000 0.0000 0.0000
# **Energy of formation**: 0.1174 eV/atom

[8]
# Tl3As (PBE-GGA, optimized geometry)
data_Tl3As
_chemical_formula_sum 'Tl3 As1'
_cell_length_a 4.0617
_cell_length_b 4.0925
_cell_length_c 7.4718
_cell_angle_alpha 90.00
_cell_angle_beta 90.00
_cell_angle_gamma 90.00
_symmetry_space_group_name_H-M 'P m m 2'
_symmetry_Int_Tables_number 25
_symmetry_space_group_name_Hall 'P 2 -2'
loop_
_atom_site_label
_atom_site_fract_x
_atom_site_fract_y
_atom_site_fract_z
Tl1 0.0000 0.0000 0.0000
Tl2 0.0000 0.5000 0.3482
Tl3 0.5000 0.5000 0.7517
As1 0.5000 0.0000 0.4751
# **Energy of formation**: 0.1136 eV/atom

[9]
# TlAs (PBE-GGA, optimized geometry)
data_TlAs
_chemical_formula_sum 'Tl6 As6'
_cell_length_a 14.4930
_cell_length_b 3.6679
_cell_length_c 7.1856
_cell_angle_alpha 90.00
_cell_angle_beta 116.59
_cell_angle_gamma 90.00
_symmetry_space_group_name_H-M 'C 1 m 1'
_symmetry_Int_Tables_number 8
_symmetry_space_group_name_Hall 'C -2y'
loop_
_atom_site_label
_atom_site_fract_x
_atom_site_fract_y
_atom_site_fract_z
Tl1 0.0000 0.0000 0.0000
Tl2 0.0808 0.0000 0.5795
Tl3 0.2336 0.5000 0.0020
As1 0.2067 0.5000 0.4029
As2 0.3420 0.0000 0.5284
As3 0.4147 0.0000 0.2651
# **Energy of formation**: 0.0608 eV/atom

[10]
# Tl4As (PBE-GGA, optimized geometry)
data_Tl4As
_chemical_formula_sum 'Tl8 As2'
_cell_length_a 12.6334
_cell_length_b 3.7015
_cell_length_c 8.9228
_cell_angle_alpha 90.00
_cell_angle_beta 134.79
_cell_angle_gamma 90.00
_symmetry_space_group_name_H-M 'C 1 2/m 1'
_symmetry_Int_Tables_number 12
_symmetry_space_group_name_Hall '-C 2y'
loop_
_atom_site_label
_atom_site_fract_x
_atom_site_fract_y
_atom_site_fract_z
Tl1 0.0793 0.0000 0.3519
Tl2 0.2299 0.5000 0.8099
As1 0.0000 0.5000 0.0000
# **Energy of formation**: 0.0202 eV/atom
# **Excess energy over the best structure of this formula in the dataset**: 13 meV per atom

[11]
# TlAs (PBE-GGA, optimized geometry)
data_TlAs
_chemical_formula_sum 'Tl2 As2'
_cell_length_a 4.8328
_cell_length_b 3.1611
_cell_length_c 7.2187
_cell_angle_alpha 90.00
_cell_angle_beta 90.00
_cell_angle_gamma 90.00
_symmetry_space_group_name_H-M 'P m m a'
_symmetry_Int_Tables_number 51
_symmetry_space_group_name_Hall '-P 2a 2a'
loop_
_atom_site_label
_atom_site_fract_x
_atom_site_fract_y
_atom_site_fract_z
Tl1 0.2500 0.0000 0.1842
As1 0.2500 0.5000 0.5865
# **Energy of formation**: 0.1334 eV/atom

[12]
# TlAs (PBE-GGA, optimized geometry)
data_TlAs
_chemical_formula_sum 'Tl2 As2'
_cell_length_a 5.0449
_cell_length_b 3.6824
_cell_length_c 6.5343
_cell_angle_alpha 90.00
_cell_angle_beta 105.57
_cell_angle_gamma 90.00
_symmetry_space_group_name_H-M 'P 1 21/m 1'
_symmetry_Int_Tables_number 11
_symmetry_space_group_name_Hall '-P 2yb'
loop_
_atom_site_label
_atom_site_fract_x
_atom_site_fract_y
_atom_site_fract_z
Tl1 0.1867 0.2500 0.2994
As1 0.3885 0.2500 0.8742
# **Energy of formation**: 0.0017 eV/atom

[13]
# Tl3As2 (PBE-GGA, optimized geometry)
data_Tl3As2
_chemical_formula_sum 'Tl24 As16'
_cell_length_a 13.7228
_cell_length_b 24.0578
_cell_length_c 3.5883
_cell_angle_alpha 90.00
_cell_angle_beta 90.00
_cell_angle_gamma 90.00
_symmetry_space_group_name_H-M 'F d d 2'
_symmetry_Int_Tables_number 43
_symmetry_space_group_name_Hall 'F 2 -2d'
loop_
_atom_site_label
_atom_site_fract_x
_atom_site_fract_y
_atom_site_fract_z
Tl1 0.0000 0.0000 0.0000
Tl2 0.1026 0.3562 0.7742
As1 0.0448 0.2247 0.7804
# **Energy of formation**: 0.0308 eV/atom
# **Excess energy over the best structure of this formula in the dataset**: 0 meV per atom

[14]
# Tl4As3 (PBE-GGA, optimized geometry)
data_Tl4As3
_chemical_formula_sum 'Tl4 As3'
_cell_length_a 5.7783
_cell_length_b 5.7783
_cell_length_c 6.4654
_cell_angle_alpha 90.00
_cell_angle_beta 90.00
_cell_angle_gamma 120.00
_symmetry_space_group_name_H-M 'P 6/m m m'
_symmetry_Int_Tables_number 191
_symmetry_space_group_name_Hall '-P 6 2'
loop_
_atom_site_label
_atom_site_fract_x
_atom_site_fract_y
_atom_site_fract_z
Tl1 0.0000 0.0000 0.2488
Tl2 0.3333 0.6667 0.0000
As1 0.0000 0.5000 0.5000
# **Energy of formation**: 0.1099 eV/atom